DFT (PBE) results for a geometry-optimized CaReAg2Br structure.

Results
- size of the total moment (μB/f.u.) = 5.197
- energy relative to the lowest polymorph listed for this composition (meV per atom) = 422
- formation energy without anion corrections (eV/f.u.) = 6.7
- ρ (kg/m³) = 5166
- DFT total energy (eV/cell) = -15.12

Cell: 5.638 5.278 5.638 Å, 90.00 90.00 90.00°
Last column: magnetic moment on the atom in μB.
Sites, in units of the cell vectors:
Ag 0.000 0.000 0.500  0.03
Re 0.500 0.500 0.500  4.11
Ca 0.000 0.000 0.000  0.00
Ag 0.500 0.000 0.000  0.01
Br 0.000 0.500 0.000  0.05